Record 1
BiTe3Pb | PBE | optimized geometry

Geometry as CIF:
```
data_BiTe3Pb
_chemical_formula_sum 'Bi4 Te12 Pb4'
_cell_length_a 4.579
_cell_length_b 16.257
_cell_length_c 10.800
_cell_angle_alpha 90.00
_cell_angle_beta 90.00
_cell_angle_gamma 90.00
_symmetry_space_group_name_H-M 'A m m 2'
_symmetry_Int_Tables_number 38
loop_
_symmetry_equiv_pos_as_xyz
'x,y,z'
'-x,-y,z'
'-x,y,z'
'x,-y,z'
'x,y+1/2,z+1/2'
'-x,-y+1/2,z+1/2'
'-x,y+1/2,z+1/2'
'x,-y+1/2,z+1/2'
loop_
_atom_site_label
_atom_site_type_symbol
_atom_site_fract_x
_atom_site_fract_y
_atom_site_fract_z
Bi1 Bi 0.000 0.250 0.000
Te1 Te 0.000 0.149 0.250
Te2 Te 0.500 0.118 0.973
Te3 Te 0.500 0.119 0.529
Pb1 Pb 0.500 0.000 0.254
Pb2 Pb 0.500 0.000 0.751
```

Total energy ... -3.426 eV per atom
Uncorrected formation energy ... -23 meV per atom
D(E_F) ... 0.716 states/eV/atom


Record 2
NiAsIrBr2 | PBE | optimized geometry

Geometry as CIF:
```
data_NiAsIrBr2
_chemical_formula_sum 'Ni1 As1 Ir1 Br2'
_cell_length_a 5.310
_cell_length_b 5.310
_cell_length_c 4.588
_cell_angle_alpha 90.00
_cell_angle_beta 90.00
_cell_angle_gamma 90.00
_symmetry_space_group_name_H-M 'P 4/m m m'
_symmetry_Int_Tables_number 123
_symmetry_space_group_name_Hall '-P 4 2'
loop_
_atom_site_label
_atom_site_type_symbol
_atom_site_fract_x
_atom_site_fract_y
_atom_site_fract_z
Ni1 Ni 0.000 0.000 0.000
As1 As 0.500 0.500 0.000
Ir1 Ir 0.500 0.500 0.500
Br1 Br 0.000 0.500 0.500
```

Total energy ... -3.678 eV per atom
Uncorrected formation energy ... 850 meV per atom
D(E_F) ... 2.401 states/eV/atom


Record 3
Mg2Ni4Sn2H | PBE | optimized geometry

Geometry as CIF:
```
data_Mg2Ni4Sn2H
_chemical_formula_sum 'Mg4 Ni8 Sn4 H2'
_cell_length_a 5.895
_cell_length_b 5.895
_cell_length_c 6.999
_cell_angle_alpha 90.00
_cell_angle_beta 90.00
_cell_angle_gamma 90.00
_symmetry_space_group_name_H-M 'I 4/m m m'
_symmetry_Int_Tables_number 139
_symmetry_space_group_name_Hall '-I 4 2'
loop_
_atom_site_label
_atom_site_type_symbol
_atom_site_fract_x
_atom_site_fract_y
_atom_site_fract_z
Mg1 Mg 0.000 0.000 0.208
Ni1 Ni 0.226 0.226 0.500
Sn1 Sn 0.000 0.500 0.250
H1 H 0.000 0.000 0.500
```

Total energy ... -4.382 eV per atom
D(E_F) ... 0.625 states/eV/atom


Record 4
MgHgSbCl6 | PBE | optimized geometry

Geometry as CIF:
```
data_MgHgSbCl6
_chemical_formula_sum 'Mg1 Hg1 Sb1 Cl6'
_cell_length_a 6.7453
_cell_length_b 6.7453
_cell_length_c 6.6464
_cell_angle_alpha 90.00
_cell_angle_beta 90.00
_cell_angle_gamma 120.00
_symmetry_space_group_name_H-M 'P 3 1 2'
_symmetry_Int_Tables_number 149
loop_
_symmetry_equiv_pos_as_xyz
'x,y,z'
'-y,x-y,z'
'-x+y,-x,z'
'-y,-x,-z'
'-x+y,y,-z'
'x,x-y,-z'
loop_
_atom_site_label
_atom_site_type_symbol
_atom_site_fract_x
_atom_site_fract_y
_atom_site_fract_z
Mg1 Mg 0.0000 0.0000 0.0000
Hg1 Hg 0.6667 0.3333 0.5000
Sb1 Sb 0.3333 0.6667 0.0000
Cl1 Cl 0.0218 0.3191 0.2202
```

Total energy ... -2.906 eV per atom
Uncorrected formation energy ... -1006 meV per atom
D(E_F) ... 0.479 states/eV/atom


Record 5
LaZn2NiAu4 | PBE | optimized geometry

Geometry as CIF:
```
data_LaZn2NiAu4
_chemical_formula_sum 'La3 Zn6 Ni3 Au12'
_cell_length_a 4.4321
_cell_length_b 4.4321
_cell_length_c 26.9506
_cell_angle_alpha 90.00
_cell_angle_beta 90.00
_cell_angle_gamma 120.00
_symmetry_space_group_name_H-M 'R -3 m'
_symmetry_Int_Tables_number 166
_symmetry_space_group_name_Hall '-R 3 2"'
loop_
_atom_site_label
_atom_site_type_symbol
_atom_site_fract_x
_atom_site_fract_y
_atom_site_fract_z
La1 La 0.0000 0.0000 0.0000
Zn1 Zn 0.0000 0.0000 0.2341
Ni1 Ni 0.0000 0.0000 0.5000
Au1 Au 0.0000 0.0000 0.1325
Au2 Au 0.0000 0.0000 0.4013
```

Total energy ... -3.657 eV per atom
D(E_F) ... 0.546 states/eV/atom
DFT formation energy ... -2.89 eV/f.u.


Record 6
Nb6CrRh | PBE | optimized geometry

Geometry as CIF:
```
data_Nb6CrRh
_chemical_formula_sum 'Nb12 Cr2 Rh2'
_cell_length_a 4.579
_cell_length_b 4.579
_cell_length_c 12.963
_cell_angle_alpha 90.00
_cell_angle_beta 90.00
_cell_angle_gamma 90.00
_symmetry_space_group_name_H-M 'I 4/m m m'
_symmetry_Int_Tables_number 139
_symmetry_space_group_name_Hall '-I 4 2'
loop_
_atom_site_label
_atom_site_type_symbol
_atom_site_fract_x
_atom_site_fract_y
_atom_site_fract_z
Nb1 Nb 0.000 0.000 0.247
Nb2 Nb 0.000 0.500 0.121
Cr1 Cr 0.000 0.000 0.000
Rh1 Rh 0.000 0.000 0.500
```

Total energy ... -9.771 eV per atom
D(E_F) ... 0.836 states/eV/atom
DFT formation energy ... -0.78 eV/f.u.


Record 7
Ca2CuSn | PBE | optimized geometry

Geometry as CIF:
```
data_Ca2CuSn
_chemical_formula_sum 'Ca4 Cu2 Sn2'
_cell_length_a 8.915
_cell_length_b 5.155
_cell_length_c 5.098
_cell_angle_alpha 90.00
_cell_angle_beta 90.25
_cell_angle_gamma 90.00
_symmetry_space_group_name_H-M 'C 1 2/m 1'
_symmetry_Int_Tables_number 12
loop_
_symmetry_equiv_pos_as_xyz
'x,y,z'
'-x,-y,-z'
'-x,y,-z'
'x,-y,z'
'x+1/2,y+1/2,z'
'-x+1/2,-y+1/2,-z'
'-x+1/2,y+1/2,-z'
'x+1/2,-y+1/2,z'
loop_
_atom_site_label
_atom_site_type_symbol
_atom_site_fract_x
_atom_site_fract_y
_atom_site_fract_z
Ca1 Ca 0.166 0.000 0.260
Cu1 Cu 0.000 0.500 0.500
Sn1 Sn 0.000 0.500 0.000
```

Total energy ... -3.343 eV per atom
D(E_F) ... 0.310 states/eV/atom
DFT formation energy ... -1.27 eV/f.u.


Record 8
YSiPCl2 | PBE | optimized geometry

Geometry as CIF:
```
data_YSiPCl2
_chemical_formula_sum 'Y1 Si1 P1 Cl2'
_cell_length_a 4.681
_cell_length_b 4.681
_cell_length_c 4.948
_cell_angle_alpha 90.00
_cell_angle_beta 90.00
_cell_angle_gamma 90.00
_symmetry_space_group_name_H-M 'P 4/m m m'
_symmetry_Int_Tables_number 123
_symmetry_space_group_name_Hall '-P 4 2'
loop_
_atom_site_label
_atom_site_type_symbol
_atom_site_fract_x
_atom_site_fract_y
_atom_site_fract_z
Y1 Y 0.000 0.000 0.000
Si1 Si 0.500 0.500 0.500
P1 P 0.500 0.500 0.000
Cl1 Cl 0.000 0.500 0.500
```

Total energy ... -4.613 eV per atom
Uncorrected formation energy ... -415 meV per atom
D(E_F) ... 0.332 states/eV/atom